Record 1
{
  "formula": "Li2CoCl",
  "functional": "PBE-GGA",
  "state": "optimized geometry",
  "total_magnetization_mub_per_atom": 0.43,
  "spacegroup": "No. 123",
  "rho_g_cm3": 3.05,
  "e_form_raw_mev_per_atom": -320,
  "dos_ef_per_ev_cell": 2.75,
  "lattice": [[3.0492, 0.0000, 0.0000], [0.0000, 3.0587, 0.0184], [0.0000, 3.0179, 6.3406]],
  "species": ["Cl", "Li", "Li", "Co"],
  "fractional_positions": [[0.5000, 0.2500, 0.2500], [0.0000, 0.5182, 0.4816], [0.0000, 0.9818, 0.0184], [0.5000, 0.7500, 0.7500]]
}

Record 2
{
  "formula": "NbReI2O",
  "functional": "PBE-GGA",
  "state": "optimized geometry",
  "total_magnetization_mub_per_atom": 0.67,
  "spacegroup": "No. 123",
  "rho_g_cm3": 7.87,
  "e_form_raw_mev_per_atom": 449,
  "dos_ef_per_ev_cell": 2.28,
  "lattice": [[5.5654, 0.0000, 0.0000], [0.0000, 5.5654, 0.0000], [0.0000, 0.0000, 3.7395]],
  "species": ["I", "Re", "I", "Nb", "O"],
  "fractional_positions": [[0.0000, 0.5000, 0.0000], [0.0000, 0.0000, 0.0000], [0.5000, 0.0000, 0.0000], [0.5000, 0.5000, 0.5000], [0.0000, 0.0000, 0.5000]]
}

Record 3
{
  "formula": "CoBi",
  "functional": "PBE-GGA",
  "state": "optimized geometry",
  "total_magnetization_mub_per_atom": 0.51,
  "spacegroup": "No. 187",
  "rho_g_cm3": 10.82,
  "dos_ef_per_ev_cell": 1.98,
  "e_form_ev_per_fu": 1.03,
  "lattice": [[3.8715, 0.0000, 0.0000], [-1.9358, 3.3529, 0.0000], [0.0000, 0.0000, 3.1662]],
  "species": ["Co", "Bi"],
  "fractional_positions": [[0.6667, 0.3333, 0.0000], [0.0000, 0.0000, 0.5000]]
}

What did the first record say?
{
  "formula": "Li2CoCl",
  "functional": "PBE-GGA",
  "state": "optimized geometry",
  "total_magnetization_mub_per_atom": 0.43,
  "spacegroup": "No. 123",
  "rho_g_cm3": 3.05,
  "e_form_raw_mev_per_atom": -320,
  "dos_ef_per_ev_cell": 2.75,
  "lattice": [[3.0492, 0.0000, 0.0000], [0.0000, 3.0587, 0.0184], [0.0000, 3.0179, 6.3406]],
  "species": ["Cl", "Li", "Li", "Co"],
  "fractional_positions": [[0.5000, 0.2500, 0.2500], [0.0000, 0.5182, 0.4816], [0.0000, 0.9818, 0.0184], [0.5000, 0.7500, 0.7500]]
}

Please write out number 3 again, unchanged.
{
  "formula": "CoBi",
  "functional": "PBE-GGA",
  "state": "optimized geometry",
  "total_magnetization_mub_per_atom": 0.51,
  "spacegroup": "No. 187",
  "rho_g_cm3": 10.82,
  "dos_ef_per_ev_cell": 1.98,
  "e_form_ev_per_fu": 1.03,
  "lattice": [[3.8715, 0.0000, 0.0000], [-1.9358, 3.3529, 0.0000], [0.0000, 0.0000, 3.1662]],
  "species": ["Co", "Bi"],
  "fractional_positions": [[0.6667, 0.3333, 0.0000], [0.0000, 0.0000, 0.5000]]
}

What did the second record say?
{
  "formula": "NbReI2O",
  "functional": "PBE-GGA",
  "state": "optimized geometry",
  "total_magnetization_mub_per_atom": 0.67,
  "spacegroup": "No. 123",
  "rho_g_cm3": 7.87,
  "e_form_raw_mev_per_atom": 449,
  "dos_ef_per_ev_cell": 2.28,
  "lattice": [[5.5654, 0.0000, 0.0000], [0.0000, 5.5654, 0.0000], [0.0000, 0.0000, 3.7395]],
  "species": ["I", "Re", "I", "Nb", "O"],
  "fractional_positions": [[0.0000, 0.5000, 0.0000], [0.0000, 0.0000, 0.0000], [0.5000, 0.0000, 0.0000], [0.5000, 0.5000, 0.5000], [0.0000, 0.0000, 0.5000]]
}